This record from Alexandria describes TlCuOs after structural relaxation. The functional is PBE.

mass density: 14.92 g/cm³
calculated total energy: -5.065 eV/atom
formation energy: 832 meV per atom
SG: P3m1 (156)

Lattice parameters (Å, degrees): 2.9404 2.9404 6.8094 90.00 90.00 120.00
Last column: nearest neighbours and their distance in Å.
Sites, in units of the cell vectors:
Os (0.3333, 0.6667, 0.3106)  3 Cu 2.61
Cu (0.0000, 0.0000, 0.0197)  3 Os 2.61
Tl (0.6667, 0.3333, 0.6698)  3 Cu 2.93, 6 Tl 2.94, 3 Os 2.98

---

This record from Alexandria describes LaTb9Sc2 after structural relaxation. The functional is PBE.

mass density: 7.39 g/cm³
calculated total energy: -4.896 eV/atom
formation energy: 43 meV per atom
SG: P4/mmm (123)

Lattice parameters (Å, degrees): 4.9903 4.9903 14.9744 90.00 90.00 90.00
Last column: nearest neighbours and their distance in Å.
Sites, in units of the cell vectors:
Tb (0.0000, 0.5000, 0.1750)  2 Sc 3.48, 8 Tb 3.50-3.62, 2 La 3.62
Tb (0.0000, 0.5000, 0.8250)  2 Sc 3.48, 8 Tb 3.50-3.62, 2 La 3.62
Tb (0.5000, 0.0000, 0.8250)  2 Sc 3.48, 8 Tb 3.50-3.62, 2 La 3.62
Tb (0.0000, 0.5000, 0.5000)  8 Tb 3.47-3.53, 4 Sc 3.49
Tb (0.5000, 0.5000, 0.3389)  8 Tb 3.47-3.50, 4 Sc 3.53
La (0.0000, 0.0000, 0.0000)  12 Tb 3.53-3.62
Tb (0.5000, 0.0000, 0.1750)  2 Sc 3.48, 8 Tb 3.50-3.62, 2 La 3.62
Tb (0.5000, 0.0000, 0.5000)  8 Tb 3.47-3.53, 4 Sc 3.49
Tb (0.5000, 0.5000, 0.0000)  4 La 3.53, 8 Tb 3.62
Tb (0.5000, 0.5000, 0.6611)  8 Tb 3.47-3.50, 4 Sc 3.53
Sc (0.0000, 0.0000, 0.6633)  12 Tb 3.48-3.53
Sc (0.0000, 0.0000, 0.3367)  12 Tb 3.48-3.53